Computed, not measured: a relaxed Pu2HgAu crystal at the PBE-GGA level of DFT.

Properties
ΔE to the lowest computed polymorph	178.4	meV/atom
energy of formation	-64	meV/atom

Cell lengths 3.427, 3.427, 10.222 Å; angles 80.35, 80.35, 60.00 degrees
Element x y z (fractional)
Pu  0.079  0.079  0.762
Pu  0.254  0.254  0.238
Hg  0.500  0.500  0.500
Au  0.667  0.667  0.000



Computed, not measured: a relaxed PuHg5Au crystal at the PBE-GGA level of DFT.

Properties
energy of formation	-119	meV/atom

Cell lengths 4.951, 4.951, 7.258 Å; angles 90.00, 90.00, 90.00 degrees
Element x y z (fractional)
Pu  0.000  0.000  0.000
Hg  0.500  0.000  0.715
Hg  0.000  0.500  0.715
Hg  0.500  0.500  0.000
Hg  0.000  0.500  0.285
Hg  0.500  0.000  0.285
Au  0.000  0.000  0.500



Computed, not measured: a relaxed Pu3Hg3Au2 crystal at the PBE-GGA level of DFT.

Properties
ΔE to the lowest computed polymorph	64.7	meV/atom
energy of formation	-199	meV/atom

Cell lengths 4.766, 4.903, 8.909 Å; angles 106.13, 105.52, 90.00 degrees
Element x y z (fractional)
Pu  0.136  0.635  0.271
Pu  0.864  0.365  0.729
Pu  0.000  0.000  0.000
Hg  0.636  0.136  0.271
Hg  0.500  0.500  0.000
Hg  0.364  0.864  0.729
Au  0.244  0.243  0.487
Au  0.756  0.757  0.513



Computed, not measured: a relaxed PuHg3Au3 crystal at the PBE-GGA level of DFT.

Properties
energy of formation	381	meV/atom

Cell lengths 7.668, 7.668, 7.668 Å; angles 90.00, 90.00, 90.00 degrees
Element x y z (fractional)
Au  0.250  0.000  0.500
Au  0.000  0.500  0.250
Au  0.500  0.750  0.000
Au  0.750  0.000  0.500
Au  0.000  0.500  0.750
Au  0.500  0.250  0.000
Hg  0.000  0.250  0.500
Hg  0.000  0.750  0.500
Hg  0.500  0.000  0.750
Hg  0.750  0.500  0.000
Hg  0.500  0.000  0.250
Hg  0.250  0.500  0.000
Pu  0.500  0.500  0.500
Pu  0.000  0.000  0.000



Computed, not measured: a relaxed Pu2HgAu3 crystal at the PBE-GGA level of DFT.

Properties
ΔE to the lowest computed polymorph	93.6	meV/atom
energy of formation	-182	meV/atom

Cell lengths 3.080, 5.448, 9.184 Å; angles 107.25, 99.65, 90.00 degrees
Element x y z (fractional)
Pu  0.657  0.657  0.314
Pu  0.343  0.343  0.686
Hg  0.000  0.000  0.000
Au  0.000  0.500  0.000
Au  0.829  0.829  0.658
Au  0.171  0.171  0.342



Computed, not measured: a relaxed PuHg2Au2 crystal at the PBE-GGA level of DFT.

Properties
energy of formation	211	meV/atom

Cell lengths 7.052, 7.052, 8.143 Å; angles 90.00, 90.00, 155.20 degrees
Element x y z (fractional)
Pu  0.000  0.000  0.000
Hg  0.157  0.843  0.500
Hg  0.843  0.157  0.500
Au  0.500  0.500  0.682
Au  0.500  0.500  0.318



Computed, not measured: a relaxed Pu3Hg4Au2 crystal at the PBE-GGA level of DFT.

Properties
energy of formation	-292	meV/atom

Cell lengths 5.050, 5.943, 9.300 Å; angles 121.32, 90.01, 115.13 degrees
Element x y z (fractional)
Pu  0.667  0.334  0.665
Pu  0.000  0.000  0.000
Pu  0.333  0.666  0.335
Hg  0.716  0.432  0.053
Hg  0.284  0.568  0.947
Hg  0.940  0.880  0.609
Hg  0.060  0.120  0.391
Au  0.610  0.221  0.278
Au  0.390  0.779  0.722



Computed, not measured: a relaxed Pu2HgAu3 crystal at the PBE-GGA level of DFT.

Properties
ΔE to the lowest computed polymorph	0.0	meV/atom
energy of formation	-276	meV/atom

Cell lengths 4.337, 3.702, 9.862 Å; angles 100.82, 102.70, 90.00 degrees
Element x y z (fractional)
Pu  0.136  0.136  0.272
Pu  0.855  0.355  0.709
Hg  0.449  0.949  0.897
Au  0.706  0.706  0.411
Au  0.560  0.560  0.119
Au  0.295  0.795  0.590



| no. | VASP energy (eV/atom) |
| --- | --- |
| 1 | -8.1246 |
| 2 | -2.8506 |
| 3 | -6.5063 |
| 4 | -3.2003 |
| 5 | -6.6483 |
| 6 | -4.0871 |
| 7 | -5.9322 |
| 8 | -6.7420 |